# 1
This record from Alexandria via LeMat-Bulk describes crystalline Li2RhF6 at its relaxed geometry. The functional is GGA-PBEsol.

## Properties
Formation energy (no corrections) (meV/atom): -2218
Space-group type: No. 136
N(E_F) (states/eV/cell): 15.20
ρ (g cm⁻³): 3.98

Cell lengths 4.610, 4.610, 9.052 Å; angles 90.00, 90.00, 90.00 degrees
Fractional coordinates of all 18 atoms:
1 F 0.195 0.805 0.160
2 Rh 0.000 0.000 0.000
3 F 0.695 0.695 0.340
4 F 0.208 0.792 0.500
5 F 0.292 0.292 0.000
6 F 0.195 0.805 0.840
7 Li 0.000 0.000 0.666
8 F 0.792 0.208 0.500
9 F 0.805 0.195 0.160
10 Li 0.500 0.500 0.166
11 F 0.305 0.305 0.660
12 Li 0.000 0.000 0.334
13 Rh 0.500 0.500 0.500
14 F 0.305 0.305 0.340
15 Li 0.500 0.500 0.834
16 F 0.708 0.708 0.000
17 F 0.805 0.195 0.840
18 F 0.695 0.695 0.660

---

# 2
This record from Alexandria via LeMat-Bulk describes crystalline CrInRe2 at its relaxed geometry. The functional is GGA-PBEsol.

## Properties
Space-group type: No. 123
Formation enthalpy at 0 K (eV/atom): 0.67
N(E_F) (states/eV/cell): 5.01
ρ (g cm⁻³): 14.97

Cell lengths 3.108, 4.387, 4.387 Å; angles 90.00, 90.00, 90.00 degrees
Fractional coordinates of all 4 atoms:
1 Cr 0.500 0.500 0.500
2 In 0.500 0.000 0.000
3 Re 0.000 0.000 0.500
4 Re 0.000 0.500 0.000

---

# 3
This record from Alexandria via LeMat-Bulk describes crystalline LiCaSb2 at its relaxed geometry. The functional is GGA-PBEsol.

## Properties
Formation energy (no corrections) (meV/atom): -575
Space-group type: No. 123
N(E_F) (states/eV/cell): 1.78
ρ (g cm⁻³): 4.83

Cell lengths 3.232, 5.561, 5.561 Å; angles 90.00, 90.00, 90.00 degrees
Fractional coordinates of all 4 atoms:
1 Sb 0.875 0.000 0.500
2 Ca 0.375 0.000 0.000
3 Li 0.375 0.500 0.500
4 Sb 0.875 0.500 0.000

---

# 4
This record from Alexandria via LeMat-Bulk describes crystalline MgOsRu at its relaxed geometry. The functional is GGA-PBEsol.

## Properties
Space-group type: No. 107
Formation enthalpy at 0 K (eV/atom): 0.11
N(E_F) (states/eV/cell): 2.32
ρ (g cm⁻³): 11.73

Cell lengths 2.795, 2.795, 6.050 Å; angles 103.35, 103.35, 90.00 degrees
Fractional coordinates of all 3 atoms:
1 Mg 0.999 0.999 0.999
2 Os 0.680 0.680 0.359
3 Ru 0.321 0.321 0.642